DFT (PBE-GGA) results for a geometry-optimized FeSiHgBiH structure.

a b c (Å): 3.343 3.884 8.616
angles (deg): 79.06 78.99 64.55
Last column: magnetic moment on the atom in μB.
Element x y z (fractional)
Fe: 0.279 0.952 0.247  0.58
Si: 0.996 0.593 0.171  -0.02
Hg: 0.077 0.766 0.820  0.00
Bi: 0.524 0.252 0.461  -0.02
H: 0.255 0.169 0.074  -0.01

**Total energy**: -4.140 eV per atom
**N(E_F)**: 1.299 states/eV/cell
**Total magnetic moment**: 0.104 μB/atom
**Energy relative to the lowest polymorph listed for this composition**: 27 meV per atom



DFT (PBE-GGA) results for a geometry-optimized Mn3IrN structure.

a b c (Å): 4.785 4.785 4.785
angles (deg): 90.00 90.00 90.00
Last column: magnetic moment on the atom in μB.
Element x y z (fractional)
Ir: 0.000 0.000 0.000  0.38
Mn: 0.000 0.500 0.000  4.05
Mn: 0.000 0.000 0.500  4.05
Mn: 0.500 0.000 0.000  4.16
N: 0.500 0.500 0.500  0.21

**Total energy**: -6.996 eV per atom
**N(E_F)**: 7.433 states/eV/cell
**Total magnetic moment**: 2.776 μB/atom



DFT (PBE-GGA) results for a geometry-optimized Pm3Pd7Pb2 structure.

a b c (Å): 4.071 4.281 15.131
angles (deg): 98.20 90.00 90.00
Element x y z (fractional)
Pm: 0.500 0.500 0.000
Pm: 0.000 0.192 0.383
Pm: 0.000 0.808 0.617
Pd: 0.500 0.723 0.446
Pd: 0.500 0.277 0.554
Pd: 0.000 0.572 0.139
Pd: 0.000 0.000 0.000
Pd: 0.000 0.428 0.861
Pd: 0.500 0.926 0.856
Pd: 0.500 0.074 0.144
Pb: 0.500 0.633 0.263
Pb: 0.500 0.367 0.737

**Total energy**: -5.402 eV per atom
**DFT formation energy**: -0.567 eV/atom
**N(E_F)**: 6.468 states/eV/cell
**Total magnetic moment**: 0.000 μB/atom



DFT (PBE-GGA) results for a geometry-optimized Li2Ag4Pb structure.

a b c (Å): 9.850 5.573 5.637
angles (deg): 119.63 90.02 90.00
Element x y z (fractional)
Li: 0.000 0.697 0.393
Li: 0.000 0.303 0.607
Li: 0.500 0.803 0.607
Li: 0.500 0.197 0.393
Ag: 0.809 0.500 0.000
Ag: 0.750 0.500 0.500
Ag: 0.750 0.000 0.500
Ag: 0.691 0.000 0.000
Ag: 0.309 0.000 0.000
Ag: 0.250 0.000 0.500
Ag: 0.250 0.500 0.500
Ag: 0.191 0.500 0.000
Pb: 0.000 0.000 0.000
Pb: 0.500 0.500 0.000

**Total energy**: -2.777 eV per atom
**DFT formation energy**: -0.071 eV/atom
**N(E_F)**: 2.053 states/eV/cell
**Total magnetic moment**: 0.000 μB/atom
**Energy relative to the lowest polymorph listed for this composition**: 0 meV per atom



DFT (PBE-GGA) results for a geometry-optimized NbBiIr2Ru structure.

a b c (Å): 4.857 4.701 4.857
angles (deg): 90.00 90.00 90.00
Element x y z (fractional)
Ru: 0.000 0.500 0.000
Nb: 0.000 0.000 0.000
Ir: 0.000 0.000 0.500
Ir: 0.500 0.000 0.000
Bi: 0.500 0.500 0.500

**Total energy**: -6.985 eV per atom
**DFT formation energy**: 1.205 eV/atom
**N(E_F)**: 4.030 states/eV/cell
**Total magnetic moment**: 0.000 μB/atom



DFT (PBE-GGA) results for a geometry-optimized Cd4NiAg structure.

a b c (Å): 5.160 7.131 7.864
angles (deg): 116.96 109.55 90.00
Element x y z (fractional)
Cd: 0.819 0.320 0.640
Cd: 0.629 0.364 0.256
Cd: 0.000 0.194 0.000
Cd: 0.371 0.109 0.744
Cd: 0.181 0.680 0.360
Cd: 0.371 0.636 0.744
Cd: 0.000 0.806 0.000
Cd: 0.629 0.891 0.256
Ni: 0.727 0.500 0.000
Ni: 0.273 0.500 0.000
Ag: 0.197 0.197 0.395
Ag: 0.803 0.803 0.605

**Total energy**: -2.045 eV per atom
**DFT formation energy**: 0.004 eV/atom
**N(E_F)**: 4.502 states/eV/cell
**Total magnetic moment**: 0.000 μB/atom
**Energy relative to the lowest polymorph listed for this composition**: 0 meV per atom



DFT (PBE-GGA) results for a geometry-optimized Dy3Y2Ni4 structure.

a b c (Å): 7.565 7.346 7.249
angles (deg): 90.00 90.00 106.93
Element x y z (fractional)
Dy: 0.000 0.500 0.500
Dy: 0.500 0.500 0.000
Dy: 0.751 0.236 0.830
Dy: 0.749 0.764 0.330
Dy: 0.249 0.764 0.170
Dy: 0.251 0.236 0.670
Y: 0.596 0.200 0.321
Y: 0.904 0.800 0.821
Y: 0.404 0.800 0.679
Y: 0.096 0.200 0.179
Ni: 0.883 0.089 0.529
Ni: 0.617 0.911 0.029
Ni: 0.117 0.911 0.471
Ni: 0.383 0.089 0.971
Ni: 0.884 0.500 0.118
Ni: 0.616 0.500 0.618
Ni: 0.116 0.500 0.882
Ni: 0.384 0.500 0.382

**Total energy**: -5.917 eV per atom
**DFT formation energy**: -0.377 eV/atom
**N(E_F)**: 12.907 states/eV/cell
**Total magnetic moment**: 0.000 μB/atom



DFT (PBE-GGA) results for a geometry-optimized Cd2HgBi structure.

a b c (Å): 4.842 6.200 7.600
angles (deg): 108.18 89.74 89.84
Element x y z (fractional)
Cd: 0.022 0.947 0.652
Cd: 0.557 0.316 0.271
Cd: 0.019 0.932 0.122
Cd: 0.555 0.301 0.742
Hg: 0.053 0.432 0.538
Hg: 0.524 0.815 0.856
Bi: 0.067 0.395 0.025
Bi: 0.510 0.852 0.369

**Total energy**: -1.470 eV per atom
**DFT formation energy**: 0.033 eV/atom
**N(E_F)**: 1.675 states/eV/cell
**Total magnetic moment**: 0.000 μB/atom
**Energy relative to the lowest polymorph listed for this composition**: 0 meV per atom



What is the total energy in the first record? -4.140 eV per atom